Below is crystalline Y2NbCdGe at its relaxed geometry, with properties calculated at the PBE level.

abc: 5.496 5.496 5.112
angles: 90.00 90.00 90.00
Fractional coordinates of all 5 atoms:
Y: 0.000 0.500 0.000
Y: 0.500 0.000 0.000
Nb: 0.000 0.000 0.500
Cd: 0.000 0.000 0.000
Ge: 0.500 0.500 0.500

Results
For the calculated density, the calculation gives 4.90 g/cm3. The spin magnetization comes out at 1.4 μB/cell. As for the total energy: -24.283 eV for the cell shown. Its density of states at the Fermi level is 0.769 states/eV/atom.